(1)
AlCuTe2, relaxed, DFT PBE-GGA; raw formation energy = -124 meV per atom; calculated total energy = -3.654 eV per atom
1.0
2.392 0.000 7.875
-1.196 2.071 7.875
-1.196 -2.071 7.875
Te Al Cu
2 1 1
direct
0.896 0.896 0.896
0.104 0.104 0.104
0.500 0.500 0.500
0.000 0.000 0.000

=====

(2)
Al2Cu2Te, relaxed, DFT PBE-GGA; raw formation energy = 154 meV per atom; calculated total energy = -3.610 eV per atom
1.0
7.827 0.000 0.000
0.000 7.827 0.000
0.000 0.000 2.833
Te Al Cu
2 4 4
direct
0.000 0.000 0.000
0.500 0.500 0.000
0.372 0.872 0.000
0.872 0.628 0.000
0.628 0.128 0.000
0.128 0.372 0.000
0.166 0.666 0.500
0.666 0.834 0.500
0.834 0.334 0.500
0.334 0.166 0.500